[1]
Below is a relaxed structure of MgAgTeI2, with properties calculated at the GGA-PBE level.

Cell: 5.6990 5.6990 5.5786 Å, 90.00 90.00 90.00°
Atoms (fractional coordinates):
Mg: 0.0000 0.0000 0.0000
Ag: 0.5000 0.5000 0.5000
Te: 0.0000 0.0000 0.5000
I: 0.0000 0.5000 0.0000
I: 0.5000 0.0000 0.0000

Calculated values
Raw formation energy, kJ/mol of atoms: 1



[2]
Below is a relaxed structure of Co2NiP2, with properties calculated at the GGA-PBE level.

Cell: 6.2753 6.2753 2.7779 Å, 90.00 90.00 90.00°
Atoms (fractional coordinates):
Co: 0.1400 0.3600 0.0000
Co: 0.3600 0.8600 0.0000
Co: 0.6400 0.1400 0.0000
Co: 0.8600 0.6400 0.0000
Ni: 0.0000 0.0000 0.5000
Ni: 0.5000 0.5000 0.5000
P: 0.1539 0.6539 0.5000
P: 0.3461 0.1539 0.5000
P: 0.6539 0.8461 0.5000
P: 0.8461 0.3461 0.5000

Calculated values
ΔH_f (0 K), kcal/mol of atoms: -7.52



[3]
Below is a relaxed structure of TaI3Br, with properties calculated at the GGA-PBE level.

Cell: 5.4971 5.4971 5.4971 Å, 90.00 90.00 90.00°
Atoms (fractional coordinates):
Ta: 0.0000 0.0000 0.0000
I: 0.0000 0.0000 0.5000
I: 0.0000 0.5000 0.0000
I: 0.5000 0.0000 0.0000
Br: 0.5000 0.5000 0.5000

Calculated values
Raw formation energy, kJ/mol of atoms: 4



[4]
Below is a relaxed structure of Ho5ThSc, with properties calculated at the GGA-PBE level.

Cell: 6.0716 6.0716 6.7066 Å, 98.35 98.35 110.25°
Atoms (fractional coordinates):
Ho: 0.0000 0.0000 0.0000
Ho: 0.0385 0.5869 0.2686
Ho: 0.4131 0.9615 0.7314
Ho: 0.5869 0.0385 0.2686
Ho: 0.9615 0.4131 0.7314
Th: 0.5000 0.5000 0.0000
Sc: 0.5000 0.5000 0.5000

Calculated values
ΔH_f (0 K), kcal/mol of atoms: 5.28



[5]
Below is a relaxed structure of Mg2SbAs2, with properties calculated at the GGA-PBE level.

Cell: 8.3036 8.3036 3.0788 Å, 90.00 90.00 90.00°
Atoms (fractional coordinates):
Mg: 0.1411 0.3589 0.0000
Mg: 0.3589 0.8589 0.0000
Mg: 0.6411 0.1411 0.0000
Mg: 0.8589 0.6411 0.0000
Sb: 0.0000 0.0000 0.0000
Sb: 0.5000 0.5000 0.0000
As: 0.1567 0.6567 0.5000
As: 0.3433 0.1567 0.5000
As: 0.6567 0.8433 0.5000
As: 0.8433 0.3433 0.5000

Calculated values
Raw formation energy, kJ/mol of atoms: -11



[6]
Below is a relaxed structure of TcSbOs2, with properties calculated at the GGA-PBE level.

Cell: 4.7561 4.7561 2.9170 Å, 90.00 90.00 106.59°
Atoms (fractional coordinates):
Tc: 0.0000 0.0000 0.0000
Sb: 0.5000 0.5000 0.0000
Os: 0.0000 0.5000 0.5000
Os: 0.5000 0.0000 0.5000

Calculated values
Raw formation energy, kJ/mol of atoms: 54



[7]
Below is a relaxed structure of TiPdPt3, with properties calculated at the GGA-PBE level.

Cell: 4.6346 4.6346 4.6346 Å, 90.00 90.00 90.00°
Atoms (fractional coordinates):
Ti: 0.0000 0.0000 0.0000
Pd: 0.5000 0.5000 0.5000
Pt: 0.0000 0.0000 0.5000
Pt: 0.0000 0.5000 0.0000
Pt: 0.5000 0.0000 0.0000

Calculated values
ΔH_f (0 K), kcal/mol of atoms: 14.00



[8]
Below is a relaxed structure of K2PtIN, with properties calculated at the GGA-PBE level.

Cell: 6.1561 6.1561 3.7587 Å, 90.00 90.00 90.00°
Atoms (fractional coordinates):
K: 0.0000 0.5000 0.0000
K: 0.5000 0.0000 0.0000
Pt: 0.0000 0.0000 0.5000
I: 0.5000 0.5000 0.5000
N: 0.0000 0.0000 0.0000

Calculated values
Raw formation energy, kJ/mol of atoms: -57



[9]
Below is a relaxed structure of Tb7Pt3, with properties calculated at the GGA-PBE level.

Cell: 9.9206 9.9206 6.3063 Å, 90.00 90.00 120.00°
Atoms (fractional coordinates):
Tb: 0.0782 0.5391 0.0000
Tb: 0.1264 0.2528 0.3076
Tb: 0.1264 0.8736 0.3076
Tb: 0.2528 0.1264 0.8076
Tb: 0.3333 0.6667 0.5045
Tb: 0.4609 0.5391 0.0000
Tb: 0.4609 0.9218 0.0000
Tb: 0.5391 0.0782 0.5000
Tb: 0.5391 0.4609 0.5000
Tb: 0.6667 0.3333 0.0045
Tb: 0.7472 0.8736 0.3076
Tb: 0.8736 0.1264 0.8076
Tb: 0.8736 0.7472 0.8076
Tb: 0.9218 0.4609 0.5000
Pt: 0.1899 0.3798 0.7402
Pt: 0.1899 0.8101 0.7402
Pt: 0.3798 0.1899 0.2402
Pt: 0.6202 0.8101 0.7402
Pt: 0.8101 0.1899 0.2402
Pt: 0.8101 0.6202 0.2402

Calculated values
ΔH_f (0 K), kcal/mol of atoms: -19.09



[10]
Below is a relaxed structure of LaSm2PaRu2, with properties calculated at the GGA-PBE level.

Cell: 8.4208 8.4208 8.4208 Å, 128.75 72.80 132.05°
Atoms (fractional coordinates):
La: 0.2500 0.2500 0.0000
La: 0.7500 0.7500 0.0000
Sm: 0.2015 0.6734 0.8749
Sm: 0.2985 0.1734 0.4719
Sm: 0.7015 0.8266 0.5281
Sm: 0.7985 0.3266 0.1251
Pa: 0.2500 0.7500 0.5000
Pa: 0.7500 0.2500 0.5000
Ru: 0.0974 0.3008 0.3981
Ru: 0.4026 0.8008 0.2034
Ru: 0.5974 0.1992 0.7966
Ru: 0.9026 0.6992 0.6019

Calculated values
ΔH_f (0 K), kcal/mol of atoms: -5.81



[11]
Below is a relaxed structure of CrB4Mo, with properties calculated at the GGA-PBE level.

Cell: 5.7532 5.7532 3.1340 Å, 90.00 90.00 103.01°
Atoms (fractional coordinates):
Cr: 0.1764 0.1764 0.0000
Cr: 0.8236 0.8236 0.0000
B: 0.0724 0.3919 0.5000
B: 0.0984 0.9016 0.5000
B: 0.3837 0.3837 0.5000
B: 0.3919 0.0724 0.5000
B: 0.6081 0.9276 0.5000
B: 0.6163 0.6163 0.5000
B: 0.9016 0.0984 0.5000
B: 0.9276 0.6081 0.5000
Mo: 0.2965 0.7035 0.0000
Mo: 0.7035 0.2965 0.0000

Calculated values
ΔH_f (0 K), kcal/mol of atoms: -4.06



[12]
Below is a relaxed structure of ZnSnSe3, with properties calculated at the GGA-PBE level.

Cell: 5.2966 5.2966 5.2966 Å, 90.00 90.00 90.00°
Atoms (fractional coordinates):
Zn: 0.0000 0.0000 0.0000
Sn: 0.5000 0.5000 0.5000
Se: 0.0000 0.5000 0.5000
Se: 0.5000 0.0000 0.5000
Se: 0.5000 0.5000 0.0000

Calculated values
Raw formation energy, kJ/mol of atoms: 41



Number 1: magnetic moment 0.0 μB per cell. Number 2: magnetic moment 0.0 μB per cell. Number 3: magnetic moment 0.0 μB per cell. Number 4: magnetic moment 0.0 μB per cell. Number 5: magnetic moment 0.0 μB per cell. Number 6: magnetic moment 0.0 μB per cell. Number 7: magnetic moment 0.0 μB per cell. Number 8: magnetic moment 0.4 μB per cell. Number 9: magnetic moment 2.7 μB per cell. Number 10: magnetic moment 0.0 μB per cell. Number 11: magnetic moment 1.1 μB per cell. Number 12: magnetic moment 0.0 μB per cell.